i.
Density functional theory data (PBE) for crystalline HoTiCd2 at its relaxed geometry.

Lattice parameters (Å, degrees): 4.514 4.514 4.393 90.00 90.00 90.00
Sites, in units of the cell vectors:
Ho: 0.000 0.000 0.000
Ti: 0.500 0.500 0.000
Cd: 0.000 0.500 0.500
Cd: 0.500 0.000 0.500

Results
**Space group**: P4/mmm, No. 123
**Total magnetic moment**: 1.50 μB per formula unit

ii.
Density functional theory data (PBE) for crystalline HoTiCd2 at its relaxed geometry.

Lattice parameters (Å, degrees): 3.537 3.537 7.124 90.00 90.00 90.00
Sites, in units of the cell vectors:
Ho: 0.000 0.000 0.000
Ti: 0.000 0.000 0.500
Cd: 0.500 0.500 0.280
Cd: 0.500 0.500 0.720

Results
**Space group**: P4/mmm, No. 123
**Total magnetic moment**: 0.93 μB per formula unit

Which structure is the least stable? The one labeled i.

i.
Density functional theory data (PBE) for crystalline HoTl2Cd at its relaxed geometry.

Lattice parameters (Å, degrees): 5.292 5.292 5.292 60.00 60.00 60.00
Sites, in units of the cell vectors:
Ho: 0.000 0.000 0.000
Tl: 0.250 0.250 0.250
Tl: 0.750 0.750 0.750
Cd: 0.500 0.500 0.500

Results
**Space group**: Fm-3m, No. 225
**Total magnetic moment**: 0.00 μB per formula unit

ii.
Density functional theory data (PBE) for crystalline HoTl2Cd at its relaxed geometry.

Lattice parameters (Å, degrees): 4.743 4.743 4.553 90.00 90.00 90.00
Sites, in units of the cell vectors:
Ho: 0.000 0.000 0.000
Tl: 0.000 0.500 0.500
Tl: 0.500 0.000 0.500
Cd: 0.500 0.500 0.000

Results
**Space group**: P4/mmm, No. 123
**Total magnetic moment**: 0.00 μB per formula unit

Which structure is the least stable? The one labeled i.

i.
Density functional theory data (PBE) for crystalline HoTl2Cd at its relaxed geometry.

Lattice parameters (Å, degrees): 3.697 3.697 7.721 90.00 90.00 90.00
Sites, in units of the cell vectors:
Ho: 0.000 0.000 0.000
Tl: 0.500 0.500 0.258
Tl: 0.500 0.500 0.742
Cd: 0.000 0.000 0.500

Results
**Space group**: P4/mmm, No. 123
**Total magnetic moment**: 0.21 μB per formula unit

ii.
Density functional theory data (PBE) for crystalline HoTl2Cd at its relaxed geometry.

Lattice parameters (Å, degrees): 7.430 7.430 7.430 34.36 34.36 34.36
Sites, in units of the cell vectors:
Ho: 0.000 0.000 0.000
Tl: 0.421 0.421 0.421
Tl: 0.575 0.575 0.575
Cd: 0.830 0.830 0.830

Results
**Space group**: R3m, No. 160
**Total magnetic moment**: 0.00 μB per formula unit

Which structure is the least stable? The one labeled ii.

i.
Density functional theory data (PBE) for crystalline Ho4Tl5Cd at its relaxed geometry.

Lattice parameters (Å, degrees): 9.103 9.103 6.453 107.35 107.35 31.87
Sites, in units of the cell vectors:
Ho: 0.089 0.089 0.352
Ho: 0.300 0.300 0.881
Ho: 0.700 0.700 0.119
Ho: 0.911 0.911 0.648
Tl: 0.103 0.103 0.863
Tl: 0.296 0.296 0.384
Tl: 0.500 0.500 0.500
Tl: 0.704 0.704 0.616
Tl: 0.897 0.897 0.137
Cd: 0.500 0.500 0.000

Results
**Space group**: C2/m, No. 12
**Total magnetic moment**: 0.00 μB per formula unit

ii.
Density functional theory data (PBE) for crystalline Ho4Tl5Cd at its relaxed geometry.

Lattice parameters (Å, degrees): 7.635 10.259 7.599 90.00 90.00 90.00
Sites, in units of the cell vectors:
Ho: 0.002 0.250 0.209
Ho: 0.250 0.564 0.476
Ho: 0.250 0.936 0.476
Ho: 0.498 0.250 0.209
Ho: 0.502 0.750 0.791
Ho: 0.750 0.064 0.524
Ho: 0.750 0.436 0.524
Ho: 0.998 0.750 0.791
Tl: 0.052 0.055 0.815
Tl: 0.052 0.445 0.815
Tl: 0.250 0.750 0.107
Tl: 0.448 0.055 0.815
Tl: 0.448 0.445 0.815
Tl: 0.552 0.555 0.185
Tl: 0.552 0.945 0.185
Tl: 0.750 0.250 0.893
Tl: 0.948 0.555 0.185
Tl: 0.948 0.945 0.185
Cd: 0.250 0.250 0.544
Cd: 0.750 0.750 0.456

Results
**Space group**: Pmmn, No. 59
**Total magnetic moment**: 0.00 μB per formula unit

Which structure is the least stable? The one labeled ii.